No. 1
Entry from the Alexandria database: CuHg2 after structural relaxation (PBE-GGA).

Summary:
Total energy in eV per atom: -1.36
Calculated density in g cm⁻³: 13.1
M_tot in μB per atom: 0.00

Structure (POSCAR):
```
CuHg2
1.0
-1.566 1.566 6.022
1.566 -1.566 6.022
1.566 1.566 -6.022
Cu Hg
1 2
Direct
0.000 0.000 0.000 Cu
0.354 0.354 0.000 Hg
0.646 0.646 0.000 Hg
```

No. 2
Entry from the Alexandria database: CuHg2 after structural relaxation (PBE-GGA).

Summary:
Total energy in eV per atom: -1.37
Calculated density in g cm⁻³: 12.5
M_tot in μB per atom: 0.00

Structure (POSCAR):
```
CuHg2
1.0
1.689 0.975 6.268
-1.689 0.975 6.268
0.000 -1.950 6.268
Cu Hg
1 2
Direct
0.000 0.000 0.000 Cu
0.232 0.232 0.232 Hg
0.768 0.768 0.768 Hg
```

No. 3
Entry from the Alexandria database: CuHg3 after structural relaxation (PBE-GGA).

Summary:
Energy above the most stable polymorph in this dataset in meV/atom: 62
Total energy in eV per atom: -1.07
Calculated density in g cm⁻³: 12.8
M_tot in μB per atom: 0.00

Structure (POSCAR):
```
CuHg3
1.0
3.273 0.000 0.000
-1.637 2.835 0.000
0.000 0.000 9.290
Cu Hg
1 3
Direct
0.000 0.000 0.000 Cu
0.000 0.000 0.500 Hg
0.333 0.667 0.216 Hg
0.333 0.667 0.784 Hg
```